Below is an optimized crystal structure of La2Ho2O5, with properties calculated at the PBE level.

Cell: 4.332 4.332 7.819 Å, 90.00 90.00 90.00°
Space group P4/mmm (No. 123)
Symmetry-distinct sites (fractional):
1 La 0.000 0.000 0.000 (multiplicity 1)
2 La 0.000 0.000 0.500 (multiplicity 1)
3 Ho 0.500 0.500 0.231 (multiplicity 2)
4 O 0.000 0.500 0.232 (multiplicity 4)
5 O 0.500 0.500 0.500 (multiplicity 1)

crystal system: tetragonal
polymorph energy (0 for the lowest one): 0.0 kJ/mol of atoms

---

Below is an optimized crystal structure of HfSc2O4, with properties calculated at the PBE level.

Cell: 8.921 8.921 8.921 Å, 90.00 90.00 90.00°
Space group Fd-3m (No. 227, origin choice 2)
Symmetry-distinct sites (fractional):
1 Hf 0.125 0.125 0.125 (multiplicity 8)
2 Sc 0.000 0.000 0.500 (multiplicity 16)
3 O 0.003 0.003 0.747 (multiplicity 32)

crystal system: cubic

---

Below is an optimized crystal structure of MgFeCuB, with properties calculated at the PBE level.

Cell: 5.604 5.604 5.604 Å, 90.00 90.00 90.00°
Space group F-43m (No. 216)
Symmetry-distinct sites (fractional):
1 Mg 0.000 0.000 0.000 (multiplicity 4)
2 Fe 0.000 0.000 0.500 (multiplicity 4)
3 Cu 0.250 0.250 0.750 (multiplicity 4)
4 B 0.250 0.250 0.250 (multiplicity 4)

crystal system: cubic
polymorph energy (0 for the lowest one): 0.0 kJ/mol of atoms

---

Below is an optimized crystal structure of UAl, with properties calculated at the PBE level.

Cell: 5.0250 5.0250 5.8322 Å, 90.00 90.00 120.00°
Space group P6_3mc (No. 186)
Symmetry-distinct sites (fractional):
1 U 0.3333 0.6667 0.0000 (multiplicity 2)
2 Al 0.3333 0.6667 0.5021 (multiplicity 2)

crystal system: hexagonal

---

Below is an optimized crystal structure of AcCoTe, with properties calculated at the PBE level.

Cell: 7.554 7.554 7.554 Å, 90.00 90.00 90.00°
Space group F-43m (No. 216)
Symmetry-distinct sites (fractional):
1 Ac 0.000 0.000 0.000 (multiplicity 4)
2 Co 0.250 0.250 0.750 (multiplicity 4)
3 Te 0.250 0.250 0.250 (multiplicity 4)

crystal system: cubic
polymorph energy (0 for the lowest one): 57.2 kJ/mol of atoms

---

Below is an optimized crystal structure of Zn2BW, with properties calculated at the PBE level.

Cell: 5.880 5.880 5.880 Å, 90.00 90.00 90.00°
Space group F-43m (No. 216)
Symmetry-distinct sites (fractional):
1 Zn 0.000 0.000 0.000 (multiplicity 4)
2 Zn 0.250 0.250 0.250 (multiplicity 4)
3 B 0.000 0.000 0.500 (multiplicity 4)
4 W 0.250 0.250 0.750 (multiplicity 4)

crystal system: cubic

---

| no. | total energy (eV/atom) |
| --- | --- |
| 1 | -7.76 |
| 2 | -9.10 |
| 3 | -4.60 |
| 4 | -6.00 |
| 5 | -4.72 |
| 6 | -4.64 |